VASP calculation (PBE with a Hubbard U) on an optimized crystal structure of Pa2TlMoO8.

Properties
Calculated total energy = -8.21 eV/atom
Total magnetization = 1.4 μB per cell

```
Pa2TlMoO8
1.0
5.035 0.014 0.010
0.057 5.026 -0.017
0.024 -0.010 7.213
Pa Tl Mo O
2 1 1 8
Cartesian
2.567 2.508 5.432
2.548 2.521 1.775
0.012 -0.005 3.607
0.000 0.000 0.000
1.077 3.994 1.514
3.604 3.538 7.208
4.058 1.003 1.482
4.037 1.036 5.693
1.511 1.491 -0.001
1.057 4.026 5.725
3.425 3.384 3.602
1.690 1.646 3.604
```